DFT (PBE) results for an optimized crystal structure of Ba2CaRu.

```
Ba2CaRu
1.0
2.0276 1.1706 11.2605
-2.0276 1.1706 11.2605
0.0000 -2.3412 11.2605
Ba Ca Ru
2 1 1
Cartesian
0.0000 0.0000 0.0000
0.0000 0.0000 7.3472
0.0000 0.0000 26.1703
0.0000 0.0000 16.6435
```

Computed properties:
ΔH_f (0 K): 0.45 eV/atom
polymorph energy (0 for the lowest one): 186 meV/atom

---

DFT (PBE) results for an optimized crystal structure of LiY2Tm.

```
LiY2Tm
1.0
5.5476 0.0000 0.0000
0.0000 5.5476 0.0000
0.0000 0.0000 3.7712
Li Y Tm
1 2 1
Cartesian
0.0000 0.0000 0.0000
0.0000 2.7738 1.8856
2.7738 0.0000 1.8856
2.7738 2.7738 0.0000
```

Computed properties:
ΔH_f (0 K): 0.14 eV/atom
polymorph energy (0 for the lowest one): 75 meV/atom

---

DFT (PBE) results for an optimized crystal structure of InSnCl3.

```
InSnCl3
1.0
5.7079 0.0000 0.0000
0.5388 5.6894 0.0000
0.1614 0.1251 5.7893
In Sn Cl
1 1 3
Cartesian
0.0000 0.0000 0.0000
3.9220 3.5554 3.4863
1.2738 3.7737 3.6792
4.0224 3.6797 0.3191
3.8883 0.9041 3.6815
```

Computed properties:
uncorrected formation energy: -0.921 eV/atom